1.
BeSi2OsRu (PBE, relaxed); ΔE_f (raw) = 1368 meV/atom
1.0
4.4357 0.0000 0.0000
0.0000 4.4357 0.0000
0.0000 0.0000 4.8752
Be Si Os Ru
1 2 1 1
direct
0.0000 0.0000 0.0000 Be
0.0000 0.5000 0.5000 Si
0.5000 0.0000 0.5000 Si
0.5000 0.5000 0.0000 Os
0.5000 0.5000 0.5000 Ru

---

2.
BeSiOsRu2 (PBE, relaxed); ΔE_f (raw) = 557 meV/atom
1.0
4.0497 0.0000 0.0000
0.0000 4.0497 0.0000
0.0000 0.0000 4.1250
Be Si Os Ru
1 1 1 2
direct
0.0000 0.0000 0.0000 Be
0.5000 0.5000 0.5000 Si
0.0000 0.0000 0.5000 Os
0.0000 0.5000 0.0000 Ru
0.5000 0.0000 0.0000 Ru

---

3.
TiBeOsRu (PBE, relaxed); energy of formation = -0.3098 eV/atom
1.0
0.0000 2.9707 2.9707
2.9707 0.0000 2.9707
2.9707 2.9707 0.0000
Ti Be Os Ru
1 1 1 1
direct
0.0000 0.0000 0.0000 Ti
0.5000 0.5000 0.5000 Be
0.7500 0.7500 0.7500 Os
0.2500 0.2500 0.2500 Ru

---

4.
BeOsS2 (PBE, relaxed); ΔE_f (raw) = -168 meV/atom
1.0
-2.5875 2.5875 4.7503
2.5875 -2.5875 4.7503
2.5875 2.5875 -4.7503
Be Os S
2 2 4
direct
0.0000 0.0000 0.0000 Be
0.7500 0.2500 0.5000 Be
0.2500 0.7500 0.5000 Os
0.5000 0.5000 0.0000 Os
0.0923 0.6250 0.9673 S
0.3750 0.3423 0.4673 S
0.6577 0.1250 0.0327 S
0.8750 0.9077 0.5327 S

---

no.,E_tot (eV for the cell shown)
1,-28.240
2,-36.144
3,-33.366
4,-47.766